# GGA-PBE RbAg6F8, optimized geometry
data_RbAg6F8
_chemical_formula_sum 'Rb1 Ag6 F8'
_cell_length_a 8.8808
_cell_length_b 8.8808
_cell_length_c 3.6978
_cell_angle_alpha 90.00
_cell_angle_beta 90.00
_cell_angle_gamma 120.00
_symmetry_space_group_name_H-M 'P -3'
_symmetry_Int_Tables_number 147
_symmetry_space_group_name_Hall '-P 3'
loop_
_atom_site_label
_atom_site_type_symbol
_atom_site_fract_x
_atom_site_fract_y
_atom_site_fract_z
Rb1 Rb 0.0000 0.0000 0.0000
Ag1 Ag 0.1369 0.6663 0.7400
F1 F 0.0156 0.3207 0.7581
F2 F 0.3333 0.6667 0.2393
# Energy relative to the elements, uncorrected, eV/atom: -1.218
# Size of the total moment, μB/atom: 0.000
# Calculated density, Mg/m³: 5.82